(1)
{"formula": "In2ReAu", "functional": "PBE", "state": "relaxed", "cell": [[-2.547, -3.982, 5.796], [-5.305, -2.959, -4.364], [-2.105, -5.678, 0.000]], "species": ["Au", "Au", "In", "In", "In", "In", "Re", "Re"], "fractional_positions": [[0.750, 0.250, 0.500], [0.000, 0.000, 0.000], [0.375, 0.373, 0.750], [0.627, 0.125, 0.250], [0.875, 0.877, 0.750], [0.123, 0.625, 0.250], [0.250, 0.750, 0.500], [0.500, 0.500, 0.000]], "formation_energy_ev_per_atom": 0.755, "polymorph_energy_mev_per_atom": 406.7, "sg": "I-42d"}

(2)
{"formula": "CoNiAs6", "functional": "PBE", "state": "relaxed", "cell": [[6.799, -0.022, -2.401], [-3.366, 5.908, -2.400], [-0.003, 0.003, 7.236]], "species": ["As", "As", "As", "As", "As", "As", "As", "As", "As", "As", "As", "As", "Co", "Co", "Ni", "Ni"], "fractional_positions": [[0.347, 0.496, 0.155], [0.152, 0.653, 0.805], [0.848, 0.347, 0.195], [0.341, 0.192, 0.845], [0.193, 0.851, 0.347], [0.496, 0.155, 0.347], [0.849, 0.659, 0.508], [0.807, 0.149, 0.653], [0.504, 0.845, 0.653], [0.659, 0.808, 0.155], [0.151, 0.341, 0.492], [0.653, 0.504, 0.845], [0.500, 0.500, 0.500], [0.000, 0.000, 0.500], [0.500, 0.000, 0.000], [0.000, 0.500, 0.000]], "formation_energy_ev_per_atom": -0.242, "sg": "C2/m"}

(3)
{"formula": "CsAlCu2N", "functional": "PBE", "state": "relaxed", "cell": [[-2.662, 3.830, 2.395], [-2.685, -2.406, 0.863], [2.446, -1.115, 4.501]], "species": ["Cu", "Cu", "N", "Al", "Cs"], "fractional_positions": [[0.000, 0.000, 0.500], [0.500, 0.000, 0.000], [0.000, 0.500, 0.000], [0.000, 0.000, 0.000], [0.500, 0.500, 0.500]], "sg": "P4/mmm", "e_form_raw_ev_per_atom": 0.5903}

Respective M_tot values: 0.00, 0.00, 0.00 μB/cell.